Entry 1:
! LiMn2AsO6 | Alexandria via LeMat-Bulk | PBE+U | relaxed; values from VASP
! Mass density, kg/m³: 4522
! E_tot, eV/f.u.: -66.95
&SYSTEM
  ibrav = 0, nat = 10, ntyp = 4
/
ATOMIC_SPECIES
O 16.00 O.upf
As 74.92 As.upf
Mn 54.94 Mn.upf
Li 6.94 Li.upf
CELL_PARAMETERS angstrom
-2.542 3.657 -2.318
-0.359 0.024 -5.007
-5.016 -1.412 -2.165
ATOMIC_POSITIONS crystal
O 0.381 0.718 0.773
O 0.718 0.127 0.773
O 0.968 0.593 0.214
O 0.593 0.225 0.214
O 0.127 0.381 0.773
O 0.225 0.968 0.214
As 0.329 0.329 0.014
Mn 0.526 0.526 0.422
Mn 0.007 0.007 0.978
Li 0.787 0.787 0.639

Entry 2:
! LiMnAsO6 | Alexandria via LeMat-Bulk | PBE+U | relaxed; values from VASP
! N(E_F), states/eV per atom: 0.25
! Mass density, kg/m³: 4149
! E_tot, eV/f.u.: -53.55
&SYSTEM
  ibrav = 0, nat = 18, ntyp = 4
/
ATOMIC_SPECIES
As 74.92 As.upf
Mn 54.94 Mn.upf
O 16.00 O.upf
Li 6.94 Li.upf
CELL_PARAMETERS angstrom
-1.280 4.401 -1.927
2.013 -3.496 -2.907
-7.939 -3.090 -1.782
ATOMIC_POSITIONS crystal
As 0.667 0.333 0.750
As 0.333 0.667 0.250
Mn 0.333 0.667 0.750
Mn 0.667 0.333 0.250
O 0.648 0.638 0.635
O 0.010 0.362 0.135
O 0.352 0.362 0.365
O 0.990 0.352 0.635
O 0.362 0.010 0.635
O 0.362 0.352 0.865
O 0.990 0.638 0.865
O 0.638 0.990 0.365
O 0.010 0.648 0.365
O 0.648 0.010 0.865
O 0.638 0.648 0.135
O 0.352 0.990 0.135
Li 0.000 0.000 0.000
Li 0.000 0.000 0.500